Entry 1:
Density functional theory data (GGA-PBE) for a geometry-optimized LiZrTe3Au structure.

Properties
Energy above the lowest structure with this stoichiometry = 0.019 eV/atom
Space group = Cmcm, No. 63

a b c (Å): 7.687 7.687 10.908
angles (deg): 90.00 90.00 30.26
Fractional positions:
Au1 0.468 0.468 0.250
Au2 0.532 0.532 0.750
Li1 0.835 0.835 0.250
Li2 0.165 0.165 0.750
Te1 0.358 0.358 0.048
Te2 0.096 0.096 0.250
Te3 0.358 0.358 0.452
Te4 0.642 0.642 0.548
Te5 0.904 0.904 0.750
Te6 0.642 0.642 0.952
Zr1 0.000 0.000 0.000
Zr2 0.000 0.000 0.500


Entry 2:
Density functional theory data (GGA-PBE) for a geometry-optimized Li2ThAu4 structure.

Properties
Total energy = -4.1242 eV per atom
Space group = C2/m, No. 12

a b c (Å): 5.685 5.685 5.314
angles (deg): 117.65 117.65 77.50
Fractional positions:
Au1 0.600 0.000 0.300
Au2 0.000 0.600 0.300
Au3 0.000 0.400 0.700
Au4 0.400 0.000 0.700
Li1 0.500 0.500 0.250
Li2 0.500 0.500 0.750
Th1 0.000 0.000 0.000


Entry 3:
Density functional theory data (GGA-PBE) for a geometry-optimized LiThAu structure.

Properties
Total energy = -4.6793 eV per atom
Space group = P4/nmm, No. 129

a b c (Å): 3.959 3.959 8.729
angles (deg): 90.00 90.00 90.00
Fractional positions:
Au1 0.000 0.500 0.224
Au2 0.500 0.000 0.776
Li1 0.000 0.000 0.000
Li2 0.500 0.500 0.000
Th1 0.500 0.000 0.364
Th2 0.000 0.500 0.636


Volume values (in A^3/atom) by entry order: 27.07; 19.25; 22.80.